(1)
# TlCd2Ni (GGA-PBEsol, optimized geometry)
# E_form = 0.22 eV per atom
data_TlCd2Ni
_space_group_name_H-M_alt 'I -4 m 2'
_space_group_IT_number 119
_space_group_name_Hall 'I -4 -2'
_cell_length_a 4.219
_cell_length_b 4.219
_cell_length_c 8.302
_cell_angle_alpha 90.00
_cell_angle_beta 90.00
_cell_angle_gamma 90.00
loop_
_atom_site_label
_atom_site_type_symbol
_atom_site_fract_x
_atom_site_fract_y
_atom_site_fract_z
_atom_site_occupancy
Tl1 Tl 0.000 0.000 0.000 1
Cd1 Cd 0.000 0.000 0.500 1
Cd2 Cd 0.000 0.500 0.250 1
Ni1 Ni 0.000 0.500 0.750 1

=====

(2)
# MgSbRh2 (GGA-PBEsol, optimized geometry)
# Formation energy from raw total energies = -0.522 eV per atom
data_MgSbRh2
_space_group_name_H-M_alt 'P 4/m m m'
_space_group_IT_number 123
_space_group_name_Hall '-P 4 2'
_cell_length_a 4.208
_cell_length_b 4.208
_cell_length_c 3.514
_cell_angle_alpha 90.00
_cell_angle_beta 90.00
_cell_angle_gamma 90.00
loop_
_atom_site_label
_atom_site_type_symbol
_atom_site_fract_x
_atom_site_fract_y
_atom_site_fract_z
_atom_site_occupancy
Mg1 Mg 0.000 0.000 0.000 1
Sb1 Sb 0.500 0.500 0.000 1
Rh1 Rh 0.000 0.500 0.500 1

=====

(3)
# TaTc2Ru (GGA-PBEsol, optimized geometry)
# E_form = 0.07 eV per atom
# Energy relative to the lowest polymorph listed for this composition = 0.0529 eV per atom
data_TaTc2Ru
_space_group_name_H-M_alt 'C 1 2/m 1'
_space_group_IT_number 12
_space_group_name_Hall '-C 2y'
_cell_length_a 5.277
_cell_length_b 8.727
_cell_length_c 2.713
_cell_angle_alpha 90.00
_cell_angle_beta 109.25
_cell_angle_gamma 90.00
loop_
_atom_site_label
_atom_site_type_symbol
_atom_site_fract_x
_atom_site_fract_y
_atom_site_fract_z
_atom_site_occupancy
Ta1 Ta 0.000 0.000 0.000 1
Tc1 Tc 0.250 0.250 0.500 1
Ru1 Ru 0.000 0.500 0.000 1

=====

(4)
# ZrAs2Pb (GGA-PBEsol, optimized geometry)
# E_form = -0.11 eV per atom
data_ZrAs2Pb
_space_group_name_H-M_alt 'I 4/m m m'
_space_group_IT_number 139
_space_group_name_Hall '-I 4 2'
_cell_length_a 4.297
_cell_length_b 4.297
_cell_length_c 8.990
_cell_angle_alpha 90.00
_cell_angle_beta 90.00
_cell_angle_gamma 90.00
loop_
_atom_site_label
_atom_site_type_symbol
_atom_site_fract_x
_atom_site_fract_y
_atom_site_fract_z
_atom_site_occupancy
Zr1 Zr 0.000 0.000 0.000 1
As1 As 0.000 0.500 0.250 1
Pb1 Pb 0.000 0.000 0.500 1

=====

(5)
# ZrCoRh (GGA-PBEsol, optimized geometry)
# E_form = 0.23 eV per atom
data_ZrCoRh
_space_group_name_H-M_alt 'F -4 3 m'
_space_group_IT_number 216
_space_group_name_Hall 'F -4 2 3'
_cell_length_a 5.885
_cell_length_b 5.885
_cell_length_c 5.885
_cell_angle_alpha 90.00
_cell_angle_beta 90.00
_cell_angle_gamma 90.00
loop_
_atom_site_label
_atom_site_type_symbol
_atom_site_fract_x
_atom_site_fract_y
_atom_site_fract_z
_atom_site_occupancy
Zr1 Zr 0.000 0.000 0.000 1
Co1 Co 0.250 0.250 0.250 1
Rh1 Rh 0.250 0.250 0.750 1

=====

(6)
# YPW2 (GGA-PBEsol, optimized geometry)
# E_form = 0.34 eV per atom
data_YPW2
_space_group_name_H-M_alt 'C 1 2/m 1'
_space_group_IT_number 12
_space_group_name_Hall '-C 2y'
_cell_length_a 5.442
_cell_length_b 10.008
_cell_length_c 3.090
_cell_angle_alpha 90.00
_cell_angle_beta 123.99
_cell_angle_gamma 90.00
loop_
_atom_site_label
_atom_site_type_symbol
_atom_site_fract_x
_atom_site_fract_y
_atom_site_fract_z
_atom_site_occupancy
Y1 Y 0.000 0.000 0.000 1
P1 P 0.000 0.500 0.000 1
W1 W 0.250 0.250 0.500 1

=====

(7)
# Tl2SiBr (GGA-PBEsol, optimized geometry)
# Formation energy from raw total energies = 0.214 eV per atom
# Energy relative to the lowest polymorph listed for this composition = 0.0995 eV per atom
data_Tl2SiBr
_space_group_name_H-M_alt 'I -4 m 2'
_space_group_IT_number 119
_space_group_name_Hall 'I -4 -2'
_cell_length_a 4.361
_cell_length_b 4.361
_cell_length_c 10.917
_cell_angle_alpha 90.00
_cell_angle_beta 90.00
_cell_angle_gamma 90.00
loop_
_atom_site_label
_atom_site_type_symbol
_atom_site_fract_x
_atom_site_fract_y
_atom_site_fract_z
_atom_site_occupancy
Tl1 Tl 0.000 0.000 0.000 1
Tl2 Tl 0.000 0.500 0.250 1
Si1 Si 0.000 0.500 0.750 1
Br1 Br 0.000 0.000 0.500 1

=====

(8)
# Be7Os (GGA-PBEsol, optimized geometry)
# E_form = -0.01 eV per atom
data_Be7Os
_space_group_name_H-M_alt 'F m -3 m'
_space_group_IT_number 225
_space_group_name_Hall '-F 4 2 3'
_cell_length_a 6.620
_cell_length_b 6.620
_cell_length_c 6.620
_cell_angle_alpha 90.00
_cell_angle_beta 90.00
_cell_angle_gamma 90.00
loop_
_atom_site_label
_atom_site_type_symbol
_atom_site_fract_x
_atom_site_fract_y
_atom_site_fract_z
_atom_site_occupancy
Be1 Be 0.000 0.000 0.000 1
Be2 Be 0.000 0.250 0.250 1
Os1 Os 0.000 0.000 0.500 1